Entry 1:
Compound: GaSn2F8
Source: the Alexandria database
Functional: PBE-GGA
Structure: relaxed

```
GaSn2F8
1.0
-0.089 -2.375 4.458
0.244 -5.935 -1.172
5.675 -1.766 1.157
Ga F Sn
1 8 2
Cartesian
0.000 0.000 0.000
2.403 -5.233 3.763
0.697 -1.464 0.996
0.455 -4.745 0.363
3.875 -2.120 1.829
3.426 -4.843 0.679
1.955 -7.956 2.613
5.374 -5.331 4.080
5.132 -8.612 3.447
3.902 -6.814 3.097
1.927 -3.262 1.345
```

Its space group is C2/m. Its uncorrected formation energy is -2.35 eV/atom.

---

Entry 2:
Compound: Dy2HgO4
Source: the Alexandria database
Functional: PBE-GGA
Structure: relaxed

```
Dy2HgO4
1.0
3.564 0.000 0.748
1.553 6.754 1.463
0.000 -0.006 8.864
Dy O Hg
4 8 2
Cartesian
2.562 5.235 5.518
3.801 3.494 8.478
2.554 1.513 5.556
1.315 3.255 2.596
1.731 4.371 9.479
4.061 5.749 7.241
1.056 1.000 3.833
4.661 5.312 4.380
3.386 2.378 1.595
2.833 3.298 4.227
2.283 3.451 6.847
0.455 1.437 6.694
3.260 0.442 2.193
1.856 6.306 8.882
```

Its space group is C2/m. Its uncorrected formation energy is -2.65 eV/atom.

---

Entry 3:
Compound: CoRuCl3
Source: the Alexandria database
Functional: PBE-GGA
Structure: relaxed

```
CoRuCl3
1.0
-0.606 2.898 2.038
-2.428 -3.614 4.416
6.112 0.923 0.506
Co Cl Ru
1 3 1
Cartesian
5.114 2.002 1.843
2.857 -0.297 4.441
4.319 -0.030 1.327
1.113 0.977 2.111
2.344 -1.079 2.231
```

Its energy above the most stable polymorph in this dataset is 222 meV/atom. Its space group is Amm2. Its uncorrected formation energy is -0.03 eV/atom.

---

> Number 2 is which compound?

Dy2HgO4